Entry 1:
Here is an optimized crystal structure of Rb2NaWCl6 from OQMD. Energies are from GGA-PBE.

a b c (Å): 7.2920 7.2920 7.2920
angles (deg): 60.00 60.00 60.00
Sites, in units of the cell vectors:
Rb1 0.2500 0.2500 0.2500
Rb2 0.7500 0.7500 0.7500
W1 0.5000 0.5000 0.5000
Cl1 0.2626 0.7374 0.2626
Cl2 0.2626 0.2626 0.7374
Cl3 0.7374 0.2626 0.2626
Cl4 0.7374 0.7374 0.2626
Cl5 0.7374 0.2626 0.7374
Cl6 0.2626 0.7374 0.7374
Na1 0.0000 0.0000 0.0000

Computed properties:
ρ in Mg/m³: 3.576
Raw total energy in eV per cell: -41.4
Space-group type: Fm-3m, No. 225

***

Entry 2:
Here is an optimized crystal structure of Na2TbCl6 from OQMD. Energies are from GGA-PBE.

a b c (Å): 7.0974 7.0974 7.0974
angles (deg): 60.00 60.00 60.00
Sites, in units of the cell vectors:
Cl1 0.7400 0.7400 0.2600
Cl2 0.2600 0.7400 0.7400
Cl3 0.2600 0.7400 0.2600
Cl4 0.7400 0.2600 0.7400
Cl5 0.7400 0.2600 0.2600
Cl6 0.2600 0.2600 0.7400
Tb1 0.0000 0.0000 0.0000
Na1 0.7500 0.7500 0.7500
Na2 0.2500 0.2500 0.2500

Computed properties:
ρ in Mg/m³: 2.743
Raw total energy in eV per cell: -32.4
Space-group type: Fm-3m, No. 225

***

Entry 3:
Here is an optimized crystal structure of Na2TcCl6 from OQMD. Energies are from GGA-PBE.

a b c (Å): 6.2656 6.2656 11.8593
angles (deg): 90.00 90.00 90.00
Sites, in units of the cell vectors:
Cl1 0.6856 0.6856 0.3556
Cl2 0.2682 0.2682 0.0000
Cl3 0.8144 0.1856 0.8556
Cl4 0.7318 0.7318 0.0000
Cl5 0.3144 0.3144 0.3556
Cl6 0.2318 0.7682 0.5000
Cl7 0.3144 0.3144 0.6444
Cl8 0.1856 0.8144 0.8556
Cl9 0.6856 0.6856 0.6444
Cl10 0.1856 0.8144 0.1444
Cl11 0.7682 0.2318 0.5000
Cl12 0.8144 0.1856 0.1444
Na1 0.5000 0.5000 0.8343
Na2 0.0000 0.0000 0.6657
Na3 0.0000 0.0000 0.3343
Na4 0.5000 0.5000 0.1657
Tc1 0.0000 0.0000 0.0000
Tc2 0.5000 0.5000 0.5000

Computed properties:
ρ in Mg/m³: 2.544
Raw total energy in eV per cell: -69.4
Space-group type: P4_2/mnm, No. 136

***

Entry 4:
Here is an optimized crystal structure of Na2ThCl6 from OQMD. Energies are from GGA-PBE.

a b c (Å): 6.5453 6.5453 12.5450
angles (deg): 90.00 90.00 90.00
Sites, in units of the cell vectors:
Cl1 0.1956 0.1956 0.8410
Cl2 0.7915 0.7915 0.5000
Cl3 0.6956 0.3044 0.6590
Cl4 0.8044 0.8044 0.1590
Cl5 0.2915 0.7085 0.0000
Cl6 0.1956 0.1956 0.1590
Cl7 0.2085 0.2085 0.5000
Cl8 0.6956 0.3044 0.3410
Cl9 0.7085 0.2915 0.0000
Cl10 0.8044 0.8044 0.8410
Cl11 0.3044 0.6956 0.3410
Cl12 0.3044 0.6956 0.6590
Na1 0.5000 0.5000 0.8348
Na2 0.5000 0.5000 0.1652
Na3 0.0000 0.0000 0.6652
Na4 0.0000 0.0000 0.3348
Th1 0.5000 0.5000 0.5000
Th2 0.0000 0.0000 0.0000

Computed properties:
ρ in Mg/m³: 3.032
Raw total energy in eV per cell: -78.7
Space-group type: P4_2/mnm, No. 136

***

Entry 5:
Here is an optimized crystal structure of NaTl2ZnCl6 from OQMD. Energies are from GGA-PBE.

a b c (Å): 7.2156 7.2156 7.2156
angles (deg): 60.00 60.00 60.00
Sites, in units of the cell vectors:
Cl1 0.7377 0.2623 0.2623
Cl2 0.7377 0.7377 0.2623
Cl3 0.2623 0.7377 0.2623
Cl4 0.2623 0.2623 0.7377
Cl5 0.2623 0.7377 0.7377
Cl6 0.7377 0.2623 0.7377
Tl1 0.2500 0.2500 0.2500
Tl2 0.7500 0.7500 0.7500
Zn1 0.5000 0.5000 0.5000
Na1 0.0000 0.0000 0.0000

Computed properties:
ρ in Mg/m³: 4.437
Raw total energy in eV per cell: -28.2
Space-group type: Fm-3m, No. 225

***

Entry 6:
Here is an optimized crystal structure of Na2UCl6 from OQMD. Energies are from GGA-PBE.

a b c (Å): 6.4924 6.4924 12.3513
angles (deg): 90.00 90.00 90.00
Sites, in units of the cell vectors:
Cl1 0.7878 0.2122 0.5000
Cl2 0.2122 0.7878 0.5000
Cl3 0.7122 0.7122 0.0000
Cl4 0.8059 0.1941 0.8436
Cl5 0.8059 0.1941 0.1564
Cl6 0.3059 0.3059 0.3436
Cl7 0.2878 0.2878 0.0000
Cl8 0.6941 0.6941 0.6564
Cl9 0.1941 0.8059 0.1564
Cl10 0.6941 0.6941 0.3436
Cl11 0.3059 0.3059 0.6564
Cl12 0.1941 0.8059 0.8436
U1 0.5000 0.5000 0.5000
U2 0.0000 0.0000 0.0000
Na1 0.0000 0.0000 0.3353
Na2 0.0000 0.0000 0.6647
Na3 0.5000 0.5000 0.8353
Na4 0.5000 0.5000 0.1647

Computed properties:
Excess energy over the best structure of this formula in the dataset in eV/atom: 0.0000
ρ in Mg/m³: 3.169
Space-group type: P4_2/mnm, No. 136

***

Entry 7:
Here is an optimized crystal structure of Na2UCl6 from OQMD. Energies are from GGA-PBE.

a b c (Å): 11.8852 11.8852 6.1805
angles (deg): 90.01 90.01 59.98
Sites, in units of the cell vectors:
Cl1 0.1061 0.1061 0.2363
Cl2 0.2273 0.5460 0.7357
Cl3 0.7885 0.1057 0.2362
Cl4 0.5460 0.2273 0.7357
Cl5 0.8939 0.8939 0.7637
Cl6 0.4385 0.4385 0.2548
Cl7 0.4540 0.7727 0.2643
Cl8 0.2115 0.8943 0.7638
Cl9 0.5615 0.5615 0.7452
Cl10 0.5615 0.8772 0.7462
Cl11 0.1057 0.7885 0.2362
Cl12 0.1228 0.4385 0.2538
Cl13 0.2271 0.2271 0.7348
Cl14 0.8943 0.2115 0.7638
Cl15 0.7727 0.4540 0.2643
Cl16 0.7729 0.7729 0.2652
Cl17 0.4385 0.1228 0.2538
Cl18 0.8772 0.5615 0.7462
U1 0.3334 0.3334 0.4987
U2 0.0000 0.0000 0.0000
U3 0.6666 0.6666 0.5013
Na1 0.0000 0.6609 0.9995
Na2 0.0000 0.3391 0.0005
Na3 0.6609 0.3391 0.0000
Na4 0.3391 0.0000 0.0005
Na5 0.3391 0.6609 0.0000
Na6 0.6609 0.0000 0.9995

Computed properties:
Excess energy over the best structure of this formula in the dataset in eV/atom: 0.0127
ρ in Mg/m³: 3.274
Space-group type: P-3m1, No. 164

***

Entry 8:
Here is an optimized crystal structure of Na2Zn3Cl8 from OQMD. Energies are from GGA-PBE.

a b c (Å): 7.7312 7.7312 7.7312
angles (deg): 56.25 56.25 56.25
Sites, in units of the cell vectors:
Cl1 0.5956 0.5956 0.5956
Cl2 0.8960 0.8960 0.4218
Cl3 0.1040 0.1040 0.5782
Cl4 0.4044 0.4044 0.4044
Cl5 0.1040 0.5782 0.1040
Cl6 0.4218 0.8960 0.8960
Cl7 0.8960 0.4218 0.8960
Cl8 0.5782 0.1040 0.1040
Zn1 0.5000 0.5000 0.0000
Zn2 0.0000 0.5000 0.5000
Zn3 0.5000 0.0000 0.5000
Na1 0.8410 0.8410 0.8410
Na2 0.1590 0.1590 0.1590

Computed properties:
ρ in Mg/m³: 2.926
Raw total energy in eV per cell: -38.0
Space-group type: R-3m, No. 166

***

Entry 9:
Here is an optimized crystal structure of Na6ZnCl8 from OQMD. Energies are from GGA-PBE.

a b c (Å): 7.8984 7.8984 7.8984
angles (deg): 60.00 60.00 60.00
Sites, in units of the cell vectors:
Cl1 0.2500 0.2500 0.2500
Cl2 0.7749 0.7749 0.2251
Cl3 0.7500 0.7500 0.7500
Cl4 0.2251 0.2251 0.7749
Cl5 0.7749 0.2251 0.2251
Cl6 0.2251 0.7749 0.2251
Cl7 0.7749 0.2251 0.7749
Cl8 0.2251 0.7749 0.7749
Na1 0.0000 0.5000 0.0000
Na2 0.0000 0.5000 0.5000
Na3 0.5000 0.0000 0.5000
Na4 0.5000 0.5000 0.0000
Na5 0.5000 0.0000 0.0000
Na6 0.0000 0.0000 0.5000
Zn1 0.0000 0.0000 0.0000

Computed properties:
ρ in Mg/m³: 2.321
Raw total energy in eV per cell: -48.9
Space-group type: Fm-3m, No. 225

***

Entry 10:
Here is an optimized crystal structure of Na3ZrCl6 from OQMD. Energies are from GGA-PBE.

a b c (Å): 6.9264 6.9264 12.2340
angles (deg): 90.00 90.00 120.00
Sites, in units of the cell vectors:
Cl1 0.0416 0.3578 0.6278
Cl2 0.6422 0.6838 0.6278
Cl3 0.9584 0.6422 0.3722
Cl4 0.3578 0.3162 0.3722
Cl5 0.0416 0.6838 0.8722
Cl6 0.9584 0.3162 0.1278
Cl7 0.6838 0.6422 0.1278
Cl8 0.3162 0.3578 0.8722
Cl9 0.3162 0.9584 0.6278
Cl10 0.3578 0.0416 0.1278
Cl11 0.6838 0.0416 0.3722
Cl12 0.6422 0.9584 0.8722
Na1 0.3333 0.6667 0.0382
Na2 0.0000 0.0000 0.7500
Na3 0.6667 0.3333 0.9618
Na4 0.0000 0.0000 0.2500
Na5 0.6667 0.3333 0.5382
Na6 0.3333 0.6667 0.4618
Zr1 0.3333 0.6667 0.7500
Zr2 0.6667 0.3333 0.2500

Computed properties:
ρ in Mg/m³: 2.436
Raw total energy in eV per cell: -81.8
Space-group type: P-31c, No. 163

***

Entry 11:
Here is an optimized crystal structure of Nb3Cl7 from OQMD. Energies are from GGA-PBE.

a b c (Å): 9.2013 9.2013 11.1071
angles (deg): 90.00 90.00 95.06
Sites, in units of the cell vectors:
Cl1 0.6155 0.8650 0.4850
Cl2 0.2464 0.7536 0.5000
Cl3 0.9700 0.2191 0.7533
Cl4 0.8545 0.8545 0.7298
Cl5 0.1350 0.3845 0.5150
Cl6 0.2191 0.9700 0.7533
Cl7 0.5300 0.2809 0.2533
Cl8 0.6455 0.6455 0.2298
Cl9 0.0300 0.7809 0.2467
Cl10 0.4700 0.7191 0.7467
Cl11 0.8940 0.3940 0.2500
Cl12 0.1455 0.1455 0.2702
Cl13 0.2536 0.7464 0.0000
Cl14 0.8650 0.6155 0.4850
Cl15 0.3650 0.1155 0.0150
Cl16 0.6060 0.1060 0.7500
Cl17 0.3940 0.8940 0.2500
Cl18 0.7536 0.2464 0.5000
Cl19 0.2809 0.5300 0.2533
Cl20 0.1060 0.6060 0.7500
Cl21 0.3545 0.3545 0.7702
Cl22 0.7464 0.2536 0.0000
Cl23 0.3845 0.1350 0.5150
Cl24 0.7809 0.0300 0.2467
Cl25 0.6350 0.8845 0.9850
Cl26 0.8845 0.6350 0.9850
Cl27 0.7191 0.4700 0.7467
Cl28 0.1155 0.3650 0.0150
Nb1 0.9530 0.1714 0.1125
Nb2 0.5470 0.3286 0.6125
Nb3 0.3286 0.5470 0.6125
Nb4 0.8286 0.0470 0.8875
Nb5 0.6380 0.6380 0.5960
Nb6 0.3620 0.3620 0.4040
Nb7 0.0470 0.8286 0.8875
Nb8 0.4530 0.6714 0.3875
Nb9 0.1714 0.9530 0.1125
Nb10 0.1380 0.1380 0.9040
Nb11 0.6714 0.4530 0.3875
Nb12 0.8620 0.8620 0.0960

Computed properties:
ρ in Mg/m³: 3.736
Raw total energy in eV per cell: -222.5
Space-group type: Cmce, No. 64

***

Entry 12:
Here is an optimized crystal structure of NbCl3 from OQMD. Energies are from GGA-PBE.

a b c (Å): 6.6908 6.6908 6.6908
angles (deg): 55.13 55.13 55.13
Sites, in units of the cell vectors:
Cl1 0.2500 0.9110 0.5890
Cl2 0.7500 0.0890 0.4110
Cl3 0.9110 0.5890 0.2500
Cl4 0.0890 0.4110 0.7500
Cl5 0.5890 0.2500 0.9110
Cl6 0.4110 0.7500 0.0890
Nb1 0.0000 0.0000 0.0000
Nb2 0.5000 0.5000 0.5000

Computed properties:
ρ in Mg/m³: 3.524
Raw total energy in eV per cell: -39.8
Space-group type: R-3c, No. 167

***

Entry 13:
Here is an optimized crystal structure of Nb3Cl8 from OQMD. Energies are from GGA-PBE.

a b c (Å): 13.0443 13.0443 13.0443
angles (deg): 30.12 30.12 30.12
Sites, in units of the cell vectors:
Cl1 0.3561 0.3561 0.3561
Cl2 0.4361 0.9297 0.4361
Cl3 0.9297 0.4361 0.4361
Cl4 0.9264 0.9264 0.9264
Cl5 0.0216 0.5171 0.0216
Cl6 0.7747 0.7747 0.7747
Cl7 0.5171 0.0216 0.0216
Cl8 0.5073 0.5073 0.5073
Cl9 0.2602 0.7654 0.2602
Cl10 0.0216 0.0216 0.5171
Cl11 0.4361 0.4361 0.9297
Cl12 0.2602 0.2602 0.7654
Cl13 0.8456 0.3529 0.8456
Cl14 0.8456 0.8456 0.3529
Cl15 0.7654 0.2602 0.2602
Cl16 0.3529 0.8456 0.8456
Nb1 0.5871 0.5871 0.0024
Nb2 0.2796 0.6949 0.6949
Nb3 0.6949 0.6949 0.2796
Nb4 0.0024 0.5871 0.5871
Nb5 0.6949 0.2796 0.6949
Nb6 0.5871 0.0024 0.5871

Computed properties:
Excess energy over the best structure of this formula in the dataset in eV/atom: 0.0028
ρ in Mg/m³: 3.771
Space-group type: R3m, No. 160

***

Entry 14:
Here is an optimized crystal structure of Nb3Cl8 from OQMD. Energies are from GGA-PBE.

a b c (Å): 6.7826 6.7814 12.4908
angles (deg): 90.00 89.98 119.99
Sites, in units of the cell vectors:
Cl1 0.1643 0.3286 0.1378
Cl2 0.3333 0.6667 0.3543
Cl3 0.6667 0.3333 0.6457
Cl4 0.3287 0.1643 0.8621
Cl5 0.1643 0.8357 0.1378
Cl6 0.1684 0.8316 0.6215
Cl7 0.6666 0.3333 0.0996
Cl8 0.1684 0.3367 0.6215
Cl9 0.8316 0.1684 0.3785
Cl10 0.8357 0.1643 0.8622
Cl11 0.3334 0.6667 0.9004
Cl12 0.3368 0.1684 0.3784
Cl13 0.6632 0.8316 0.6216
Cl14 0.6713 0.8357 0.1379
Cl15 0.8357 0.6714 0.8622
Cl16 0.8316 0.6633 0.3785
Nb1 0.0561 0.5281 0.7534
Nb2 0.4720 0.9439 0.7534
Nb3 0.9439 0.4719 0.2466
Nb4 0.4720 0.5281 0.7534
Nb5 0.5280 0.4719 0.2466
Nb6 0.5280 0.0561 0.2466

Computed properties:
Excess energy over the best structure of this formula in the dataset in eV/atom: 0.0000
ρ in Mg/m³: 3.753
Space-group type: P-3m1, No. 164

***

Entry 15:
Here is an optimized crystal structure of Nd2Nb2Cl2O7 from OQMD. Energies are from GGA-PBE.

a b c (Å): 7.8987 7.8987 6.9681
angles (deg): 113.19 113.19 28.94
Sites, in units of the cell vectors:
Cl1 0.6778 0.6778 0.0653
Cl2 0.3222 0.3222 0.9347
Nb1 0.9659 0.9659 0.7034
Nb2 0.0341 0.0341 0.2966
O1 0.5453 0.5453 0.3395
O2 0.9169 0.9169 0.3440
O3 0.8234 0.8234 0.5664
O4 0.0831 0.0831 0.6560
O5 0.1766 0.1766 0.4336
O6 0.4547 0.4547 0.6605
O7 0.0000 0.0000 0.0000
Nd1 0.6923 0.6923 0.6662
Nd2 0.3077 0.3077 0.3338

Computed properties:
ρ in Mg/m³: 5.679
Raw total energy in eV per cell: -104.4
Space-group type: C2/m, No. 12

***

Entry 16:
Here is an optimized crystal structure of RbNbOsClO5 from OQMD. Energies are from GGA-PBE.

a b c (Å): 6.7980 6.7980 7.6852
angles (deg): 90.00 90.00 90.00
Sites, in units of the cell vectors:
O1 0.5000 0.3002 0.8390
O2 0.0000 0.1998 0.1610
O3 0.0000 0.8002 0.1610
O4 0.5000 0.0000 0.0999
O5 0.5000 0.6998 0.8390
O6 0.8002 0.0000 0.8390
O7 0.0000 0.5000 0.9001
O8 0.6998 0.5000 0.1610
O9 0.1998 0.0000 0.8390
O10 0.3002 0.5000 0.1610
Cl1 0.5000 0.0000 0.5275
Cl2 0.0000 0.5000 0.4725
Rb1 0.0000 0.0000 0.5000
Rb2 0.5000 0.5000 0.5000
Nb1 0.5000 0.0000 0.8709
Nb2 0.0000 0.5000 0.1291
Os1 0.0000 0.0000 0.0000
Os2 0.5000 0.5000 0.0000

Computed properties:
ρ in Mg/m³: 4.526
Raw total energy in eV per cell: -125.6
Space-group type: P4/nmm, No. 129